A relaxed structure of Lu2ZnO. Source: Alexandria via LeMat-Bulk, functional PBE.

M_tot = 0.00 μB/cell
E_tot = -4.909 eV/atom
Formation energy from raw total energies = -1.09 eV per atom

CIF file:
```
data_Lu2ZnO
_chemical_formula_sum 'Lu6 Zn3 O3'
_cell_length_a 3.3337
_cell_length_b 3.3337
_cell_length_c 25.5130
_cell_angle_alpha 90.00
_cell_angle_beta 90.00
_cell_angle_gamma 120.00
_symmetry_space_group_name_H-M 'R -3 m'
_symmetry_Int_Tables_number 166
_symmetry_space_group_name_Hall '-R 3 2"'
loop_
_atom_site_label
_atom_site_type_symbol
_atom_site_fract_x
_atom_site_fract_y
_atom_site_fract_z
Lu1 Lu 0.0000 0.0000 0.1140
Zn1 Zn 0.0000 0.0000 0.0000
O1 O 0.0000 0.0000 0.5000
```